Entry from OQMD: crystalline KCoCuRe at its relaxed geometry (PBE). Values from VASP.

Values from the calculation:
Offset from the most stable computed form (meV/atom): 0
Uncorrected energy (eV/atom): -4.5913

Geometry as Quantum ESPRESSO input:
```
&SYSTEM
  ibrav = 0, nat = 16, ntyp = 4
/
ATOMIC_SPECIES
K 39.10 K.upf
Co 58.93 Co.upf
Cu 63.55 Cu.upf
Re 186.21 Re.upf
CELL_PARAMETERS angstrom
6.430 0.000 0.000
0.000 6.430 0.000
0.000 0.000 6.430
ATOMIC_POSITIONS angstrom
K 0.000 0.000 0.000
K 0.000 3.215 3.215
K 3.215 0.000 3.215
K 3.215 3.215 0.000
Co 1.608 1.608 4.823
Co 1.608 4.823 1.608
Co 4.823 1.608 1.608
Co 4.823 4.823 4.823
Cu 1.608 1.608 1.608
Cu 1.608 4.823 4.823
Cu 4.823 1.608 4.823
Cu 4.823 4.823 1.608
Re 0.000 0.000 3.215
Re 0.000 3.215 0.000
Re 3.215 0.000 0.000
Re 3.215 3.215 3.215
```